A plane-wave DFT calculation with PBE was carried out for Pm2AlBr2 after structural relaxation.

abc: 11.927 11.927 11.927
angles: 19.53 19.53 19.53
Positions (direct):
Pm 0.109 0.109 0.109
Pm 0.891 0.891 0.891
Al 0.500 0.500 0.500
Br 0.277 0.277 0.277
Br 0.723 0.723 0.723

Calculated values
- VASP energy: -4.454 eV/atom



A plane-wave DFT calculation with PBE was carried out for Pm4AlBr5 after structural relaxation.

abc: 9.675 9.675 8.816
angles: 102.79 102.79 24.52
Positions (direct):
Pm 0.001 0.001 0.236
Pm 0.346 0.346 0.917
Pm 0.654 0.654 0.083
Pm 0.999 0.999 0.764
Al 0.500 0.500 0.000
Br 0.167 0.167 0.330
Br 0.172 0.172 0.842
Br 0.500 0.500 0.500
Br 0.828 0.828 0.158
Br 0.833 0.833 0.670

Calculated values
- VASP energy: -4.458 eV/atom